A plane-wave DFT calculation with meta-GGA SCAN was carried out for a PBEsol-optimized structure of Cr2TeOs.

Lattice parameters (Å, degrees): 2.9465 3.6537 5.5542 90.00 90.00 90.00
Fractional positions:
Cr: 0.0000 0.0000 0.7760
Cr: 0.0000 0.0000 0.2240
Te: 0.5000 0.5000 0.5000
Os: 0.5000 0.5000 0.0000

Results
**Theoretical density**: 11.715 g/cm3
**DOS at the Fermi energy**: 0.704 states/eV/atom
**Crystal system**: orthorhombic
**Volume**: 14.948 Å³/atom
**DFT total energy**: -144.397 eV for the cell shown